Record 1
! Sr2GaNi3Ge4 PBE-GGA relaxed; values from VASP
&SYSTEM
  ibrav = 0, nat = 10, ntyp = 4
/
ATOMIC_SPECIES
Sr 87.62 Sr.upf
Ga 69.72 Ga.upf
Ni 58.69 Ni.upf
Ge 72.64 Ge.upf
CELL_PARAMETERS angstrom
4.239 0.000 0.000
0.000 4.239 0.000
0.000 0.000 10.224
ATOMIC_POSITIONS crystal
Sr 0.000 0.500 0.245
Sr 0.500 0.000 0.755
Ga 0.000 0.000 0.500
Ni 0.000 0.500 0.882
Ni 0.500 0.000 0.118
Ni 0.500 0.500 0.500
Ge 0.000 0.000 0.000
Ge 0.000 0.500 0.643
Ge 0.500 0.000 0.357
Ge 0.500 0.500 0.000
! - M_tot: 0.0 Bohr magnetons per cell
! - Raw total energy: -0.1721 Ha/atom
! - Formation energy from the elements: -0.46 eV/atom

=====

Record 2
! Sr2Ga3NiGe4 PBE-GGA relaxed; values from VASP
&SYSTEM
  ibrav = 0, nat = 10, ntyp = 4
/
ATOMIC_SPECIES
Sr 87.62 Sr.upf
Ga 69.72 Ga.upf
Ni 58.69 Ni.upf
Ge 72.64 Ge.upf
CELL_PARAMETERS angstrom
4.543 0.000 0.000
0.000 4.543 0.000
0.000 0.000 10.263
ATOMIC_POSITIONS crystal
Sr 0.000 0.500 0.239
Sr 0.500 0.000 0.761
Ga 0.000 0.000 0.000
Ga 0.000 0.500 0.634
Ga 0.500 0.000 0.366
Ni 0.500 0.500 0.000
Ge 0.000 0.000 0.500
Ge 0.000 0.500 0.884
Ge 0.500 0.000 0.116
Ge 0.500 0.500 0.500
! - M_tot: 0.0 Bohr magnetons per cell
! - Raw total energy: -0.1472 Ha/atom
! - Formation energy from the elements: -0.33 eV/atom

=====

Record 3
! SrGaNi2Ge PBE-GGA relaxed; values from VASP
&SYSTEM
  ibrav = 0, nat = 5, ntyp = 4
/
ATOMIC_SPECIES
Sr 87.62 Sr.upf
Ga 69.72 Ga.upf
Ni 58.69 Ni.upf
Ge 72.64 Ge.upf
CELL_PARAMETERS angstrom
4.589 0.000 0.000
0.000 4.589 0.000
0.000 0.000 4.950
ATOMIC_POSITIONS crystal
Sr 0.000 0.000 0.000
Ga 0.500 0.500 0.000
Ni 0.000 0.500 0.500
Ni 0.500 0.000 0.500
Ge 0.500 0.500 0.500
! - M_tot: 0.0 Bohr magnetons per cell
! - Raw total energy: -0.1512 Ha/atom
! - Formation energy from the elements: 0.06 eV/atom